1.
Entry from the Alexandria database: a relaxed structure of Pm2Th3Sc2 (PBE).

The total energy is -6.2548 eV/atom. Its formation energy is 61.8 kJ/mol of formula units.

The space group is Cmmm (No. 65) and the conventional cell measures 3.516, 35.179 and 3.519 Å, with angles of 90.00, 90.00 and 90.00 degrees. The distinct sites, in fractional coordinates, are Pm at (0.000, 0.206, 0.000), Th at (0.000, 0.072, 0.000), Th at (0.000, 0.500, 0.500) and Sc at (0.000, 0.362, 0.500).

=====

2.
Entry from the Alexandria database: a relaxed structure of K2CrPbCl6 (PBE).

Its uncorrected formation energy is -14.02 eV/f.u. The total energy is -4.0629 eV/atom.

The space group is P-1 (No. 2) and the conventional cell measures 7.333, 7.356 and 7.377 Å, with angles of 61.40, 61.44 and 61.33 degrees. The distinct sites, in fractional coordinates, are K at (0.234, 0.234, 0.229), Cr at (0.000, 0.000, 0.000), Pb at (0.500, 0.500, 0.500), Cl at (0.146, 0.778, 0.315), Cl at (0.227, 0.690, 0.848) and Cl at (0.310, 0.153, 0.786).

=====

3.
Entry from the Alexandria database: a relaxed structure of Pr2SnS (PBE).

For the energy above the most stable polymorph in this dataset, the calculation gives 36 meV/atom. Its uncorrected formation energy is -5.28 eV/f.u. The total energy is -5.7433 eV/atom.

The space group is R-3m (No. 166, hexagonal axes) and the conventional cell measures 4.2887, 4.2887 and 21.8020 Å, with angles of 90.00, 90.00 and 120.00 degrees. The distinct sites, in fractional coordinates, are Pr at (0.0000, 0.0000, 0.2423), Sn at (0.0000, 0.0000, 0.0000) and S at (0.0000, 0.0000, 0.5000).

=====

4.
Entry from the Alexandria database: a relaxed structure of Ti2Ni9Sb (PBE).

Its uncorrected formation energy is -4.37 eV/f.u. The total energy is -6.3596 eV/atom.

The space group is P4/mmm (No. 123) and the conventional cell measures 3.654, 3.654 and 10.935 Å, with angles of 90.00, 90.00 and 90.00 degrees. The distinct sites, in fractional coordinates, are Ti at (0.000, 0.000, 0.162), Ni at (0.000, 0.500, 0.000), Ni at (0.000, 0.500, 0.324), Ni at (0.500, 0.500, 0.163), Ni at (0.500, 0.500, 0.500) and Sb at (0.000, 0.000, 0.500).

=====

5.
Entry from the Alexandria database: a relaxed structure of CeSm5Sb4 (PBE).

Its uncorrected formation energy is -7.49 eV/f.u. The total energy is -5.3508 eV/atom.

The space group is C2/m (No. 12) and the conventional cell measures 19.058, 4.393 and 8.637 Å, with angles of 90.00, 105.29 and 90.00 degrees. The distinct sites, in fractional coordinates, are Ce at (0.000, 0.000, 0.000), Sm at (0.000, 0.000, 0.500), Sm at (0.163, 0.500, 0.826), Sm at (0.176, 0.500, 0.347), Sb at (0.008, 0.500, 0.257) and Sb at (0.170, 0.000, 0.089).

=====

6.
Entry from the Alexandria database: a relaxed structure of Pr2Nd3Dy6Sc (PBE).

The total energy is -4.7924 eV/atom. Its formation energy is 28.8 kJ/mol of formula units.

The space group is C2/m (No. 12) and the conventional cell measures 6.208, 10.751 and 11.862 Å, with angles of 90.00, 100.03 and 90.00 degrees. The distinct sites, in fractional coordinates, are Pr at (0.000, 0.166, 0.000), Nd at (0.000, 0.000, 0.500), Nd at (0.000, 0.333, 0.500), Dy at (0.247, 0.335, 0.248), Dy at (0.248, 0.500, 0.752) and Sc at (0.000, 0.500, 0.000).

=====

7.
Entry from the Alexandria database: a relaxed structure of Pa2P2Se (PBE).

Its uncorrected formation energy is -4.57 eV/f.u. The total energy is -7.5727 eV/atom.

The space group is C2/m (No. 12) and the conventional cell measures 7.059, 4.808 and 6.826 Å, with angles of 90.00, 103.92 and 90.00 degrees. The distinct sites, in fractional coordinates, are Pa at (0.197, 0.000, 0.232), P at (0.000, 0.239, 0.500) and Se at (0.000, 0.500, 0.000).

=====

8.
Entry from the Alexandria database: a relaxed structure of Ho2Ga2Ag3 (PBE).

For the energy above the most stable polymorph in this dataset, the calculation gives 0 meV/atom. The total energy is -3.7337 eV/atom. Its formation energy is -229.0 kJ/mol of formula units.

The space group is Cmmm (No. 65) and the conventional cell measures 4.157, 19.428 and 3.599 Å, with angles of 90.00, 90.00 and 90.00 degrees. The distinct sites, in fractional coordinates, are Ho at (0.000, 0.157, 0.000), Ga at (0.000, 0.287, 0.500), Ag at (0.000, 0.000, 0.000) and Ag at (0.000, 0.429, 0.500).

=====

9.
Entry from the Alexandria database: a relaxed structure of EuCoS2 (PBE).

Its uncorrected formation energy is -1.84 eV/f.u. The total energy is -6.8699 eV/atom.

The space group is R-3m (No. 166, hexagonal axes) and the conventional cell measures 3.5265, 3.5265 and 23.4217 Å, with angles of 90.00, 90.00 and 120.00 degrees. The distinct sites, in fractional coordinates, are Eu at (0.0000, 0.0000, 0.0000), Co at (0.0000, 0.0000, 0.5000) and S at (0.0000, 0.0000, 0.1202).

=====

10.
Entry from the Alexandria database: a relaxed structure of TlAgPbI4 (PBE).

Its uncorrected formation energy is -3.46 eV/f.u. The total energy is -2.6555 eV/atom.

The space group is P2_1/m (No. 11) and the conventional cell measures 7.651, 8.568 and 9.305 Å, with angles of 90.00, 107.25 and 90.00 degrees. The distinct sites, in fractional coordinates, are Tl at (0.208, 0.250, 0.050), Ag at (0.218, 0.750, 0.312), Pb at (0.213, 0.250, 0.556), I at (0.020, 0.512, 0.733), I at (0.465, 0.750, 0.135) and I at (0.479, 0.750, 0.606).

=====

11.
Entry from the Alexandria database: a relaxed structure of BaCuPS4 (PBE).

Its uncorrected formation energy is -5.69 eV/f.u. The total energy is -4.8037 eV/atom.

The space group is I-4 (No. 82) and the conventional cell measures 6.817, 6.817 and 8.123 Å, with angles of 90.00, 90.00 and 90.00 degrees. The distinct sites, in fractional coordinates, are Ba at (0.000, 0.000, 0.000), Cu at (0.000, 0.000, 0.500), P at (0.000, 0.500, 0.750) and S at (0.136, 0.266, 0.632).

=====

12.
Entry from the Alexandria database: a relaxed structure of MgZn3Cd9 (PBE).

The total energy is -0.9925 eV/atom. Its formation energy is 72.4 kJ/mol of formula units.

The space group is C2/m (No. 12) and the conventional cell measures 5.765, 13.789 and 7.471 Å, with angles of 90.00, 111.29 and 90.00 degrees. The distinct sites, in fractional coordinates, are Mg at (0.000, 0.000, 0.000), Zn at (0.000, 0.500, 0.500), Zn at (0.250, 0.250, 0.000), Cd at (0.000, 0.000, 0.500), Cd at (0.095, 0.391, 0.212) and Cd at (0.167, 0.174, 0.336).

=====

13.
Entry from the Alexandria database: a relaxed structure of Ho4ThGe4 (PBE).

The total energy is -5.5011 eV/atom. Its formation energy is -512.3 kJ/mol of formula units.

The space group is I4/m (No. 87) and the conventional cell measures 9.283, 9.283 and 5.778 Å, with angles of 90.00, 90.00 and 90.00 degrees. The distinct sites, in fractional coordinates, are Ho at (0.103, 0.692, 0.000), Th at (0.000, 0.000, 0.500) and Ge at (0.106, 0.700, 0.500).

=====

14.
Entry from the Alexandria database: a relaxed structure of CuRu2Rh (PBE).

For the energy above the most stable polymorph in this dataset, the calculation gives 86 meV/atom. The total energy is -7.2956 eV/atom. Its formation energy is 78.8 kJ/mol of formula units.

The space group is I4/mmm (No. 139) and the conventional cell measures 3.712, 3.712 and 7.915 Å, with angles of 90.00, 90.00 and 90.00 degrees. The distinct sites, in fractional coordinates, are Cu at (0.000, 0.000, 0.000), Ru at (0.000, 0.500, 0.250) and Rh at (0.000, 0.000, 0.500).

=====

15.
Entry from the Alexandria database: a relaxed structure of BaLiRh (PBE).

For the energy above the most stable polymorph in this dataset, the calculation gives 550 meV/atom. The total energy is -3.2389 eV/atom. Its formation energy is 142.0 kJ/mol of formula units.

The space group is F-43m (No. 216) and the conventional cell measures 6.952, 6.952 and 6.952 Å, with angles of 90.00, 90.00 and 90.00 degrees. The distinct sites, in fractional coordinates, are Ba at (0.000, 0.000, 0.000), Li at (0.250, 0.250, 0.250) and Rh at (0.250, 0.250, 0.750).

=====

16.
Entry from the Alexandria database: a relaxed structure of TbPm4Mg2 (PBE).

The total energy is -3.5665 eV/atom. Its formation energy is 179.2 kJ/mol of formula units.

The space group is R-3m (No. 166, hexagonal axes) and the conventional cell measures 5.6173, 5.6173 and 26.8458 Å, with angles of 90.00, 90.00 and 120.00 degrees. The distinct sites, in fractional coordinates, are Tb at (0.0000, 0.0000, 0.0000), Pm at (0.0000, 0.0000, 0.2431), Pm at (0.0000, 0.0000, 0.3698) and Mg at (0.0000, 0.0000, 0.1218).

=====

17.
Entry from the Alexandria database: a relaxed structure of TbNiSn2 (PBE).

The total energy is -4.5563 eV/atom. Its formation energy is 18.5 kJ/mol of formula units.

The space group is R-3m (No. 166, hexagonal axes) and the conventional cell measures 3.4157, 3.4157 and 29.5989 Å, with angles of 90.00, 90.00 and 120.00 degrees. The distinct sites, in fractional coordinates, are Tb at (0.0000, 0.0000, 0.0000), Ni at (0.0000, 0.0000, 0.5000) and Sn at (0.0000, 0.0000, 0.1066).

=====

18.
Entry from the Alexandria database: a relaxed structure of Rb2VPdI6 (PBE).

Its uncorrected formation energy is -6.86 eV/f.u. The total energy is -3.2407 eV/atom.

The space group is I4/mmm (No. 139) and the conventional cell measures 8.081, 8.081 and 11.397 Å, with angles of 90.00, 90.00 and 90.00 degrees. The distinct sites, in fractional coordinates, are Rb at (0.000, 0.500, 0.250), V at (0.000, 0.000, 0.000), Pd at (0.000, 0.000, 0.500), I at (0.000, 0.000, 0.247) and I at (0.246, 0.246, 0.000).

=====

19.
Entry from the Alexandria database: a relaxed structure of Rb4Hf2Re (PBE).

The total energy is -3.1862 eV/atom. Its formation energy is 1343.3 kJ/mol of formula units.

The space group is I4/mmm (No. 139) and the conventional cell measures 6.966, 6.966 and 17.223 Å, with angles of 90.00, 90.00 and 90.00 degrees. The distinct sites, in fractional coordinates, are Rb at (0.000, 0.000, 0.199), Rb at (0.000, 0.500, 0.000), Hf at (0.000, 0.000, 0.428) and Re at (0.000, 0.000, 0.000).

=====

20.
Entry from the Alexandria database: a relaxed structure of Cd2SeCl (PBE).

For the energy above the most stable polymorph in this dataset, the calculation gives 16 meV/atom. Its uncorrected formation energy is -1.98 eV/f.u. The total energy is -2.2860 eV/atom.

The space group is C2/m (No. 12) and the conventional cell measures 7.185, 4.207 and 7.047 Å, with angles of 90.00, 108.94 and 90.00 degrees. The distinct sites, in fractional coordinates, are Cd at (0.237, 0.000, 0.226), Se at (0.000, 0.500, 0.000) and Cl at (0.000, 0.000, 0.500).